No. 1
First-principles (PBE) data for crystalline PuZn2 at its relaxed geometry, as listed in Alexandria.

The calculation puts the formation energy at -160 meV per atom. For the mass density, the calculation gives 10.9 g/cm3.

The space group is Fd-3m (No. 227, origin choice 2) and the conventional cell measures 7.698, 7.698 and 7.698 Å, with angles of 90.00, 90.00 and 90.00 degrees. The asymmetric unit holds Pu at (0.125, 0.125, 0.125) and Zn at (0.000, 0.000, 0.500).

=====

No. 2
First-principles (PBE) data for crystalline PuZn11 at its relaxed geometry, as listed in Alexandria.

The calculation puts the formation energy at -124 meV per atom. For the mass density, the calculation gives 8.3 g/cm3.

The space group is I4_1/amd (No. 141, origin choice 2) and the conventional cell measures 10.581, 10.581 and 6.875 Å, with angles of 90.00, 90.00 and 90.00 degrees. The asymmetric unit holds Pu at (0.000, 0.250, 0.375), Zn at (0.000, 0.000, 0.000), Zn at (0.000, 0.250, 0.875) and Zn at (0.121, 0.045, 0.676).

=====

No. 3
First-principles (PBE) data for crystalline PuZn3 at its relaxed geometry, as listed in Alexandria.

The calculation puts the formation energy at 349 meV per atom. For the mass density, the calculation gives 8.1 g/cm3.

The space group is I4/mmm (No. 139) and the conventional cell measures 4.022, 4.022 and 11.111 Å, with angles of 90.00, 90.00 and 90.00 degrees. The asymmetric unit holds Pu at (0.000, 0.000, 0.000), Zn at (0.000, 0.000, 0.278) and Zn at (0.000, 0.000, 0.500).

=====

V? In order: 456 770 180 Å³ per cell.